[1]
A plane-wave DFT calculation with GGA+U was carried out for a relaxed Er12Cr3O5 crystal.

Results
Space-group type: No. 230

Cell lengths 13.274, 13.274, 13.274 Å; angles 109.47, 109.47, 109.47 degrees
Element x y z (fractional)
Er (0.010, 0.198, 0.107)
Er (0.010, 0.312, 0.903)
Er (0.091, 0.698, 0.688)
Er (0.091, 0.893, 0.403)
Er (0.097, 0.607, 0.409)
Er (0.097, 0.990, 0.688)
Er (0.107, 0.010, 0.198)
Er (0.107, 0.597, 0.909)
Er (0.188, 0.198, 0.591)
Er (0.188, 0.490, 0.597)
Er (0.198, 0.107, 0.010)
Er (0.198, 0.591, 0.188)
Er (0.302, 0.312, 0.909)
Er (0.302, 0.490, 0.393)
Er (0.312, 0.903, 0.010)
Er (0.312, 0.909, 0.302)
Er (0.393, 0.302, 0.490)
Er (0.393, 0.591, 0.903)
Er (0.403, 0.091, 0.893)
Er (0.403, 0.812, 0.510)
Er (0.409, 0.097, 0.607)
Er (0.409, 0.812, 0.802)
Er (0.490, 0.393, 0.302)
Er (0.490, 0.597, 0.188)
Er (0.510, 0.403, 0.812)
Er (0.510, 0.607, 0.698)
Er (0.591, 0.188, 0.198)
Er (0.591, 0.903, 0.393)
Er (0.597, 0.188, 0.490)
Er (0.597, 0.909, 0.107)
Er (0.607, 0.409, 0.097)
Er (0.607, 0.698, 0.510)
Er (0.688, 0.091, 0.698)
Er (0.688, 0.097, 0.990)
Er (0.698, 0.510, 0.607)
Er (0.698, 0.688, 0.091)
Er (0.802, 0.409, 0.812)
Er (0.802, 0.893, 0.990)
Er (0.812, 0.510, 0.403)
Er (0.812, 0.802, 0.409)
Er (0.893, 0.403, 0.091)
Er (0.893, 0.990, 0.802)
Er (0.903, 0.010, 0.312)
Er (0.903, 0.393, 0.591)
Er (0.909, 0.107, 0.597)
Er (0.909, 0.302, 0.312)
Er (0.990, 0.688, 0.097)
Er (0.990, 0.802, 0.893)
Cr (0.125, 0.250, 0.375)
Cr (0.125, 0.375, 0.750)
Cr (0.250, 0.375, 0.125)
Cr (0.250, 0.875, 0.625)
Cr (0.375, 0.125, 0.250)
Cr (0.375, 0.750, 0.125)
Cr (0.625, 0.250, 0.875)
Cr (0.625, 0.875, 0.750)
Cr (0.750, 0.125, 0.375)
Cr (0.750, 0.625, 0.875)
Cr (0.875, 0.625, 0.250)
Cr (0.875, 0.750, 0.625)
O (0.000, 0.000, 0.000)
O (0.000, 0.000, 0.500)
O (0.000, 0.500, 0.000)
O (0.000, 0.500, 0.500)
O (0.125, 0.750, 0.875)
O (0.125, 0.875, 0.250)
O (0.250, 0.125, 0.875)
O (0.250, 0.625, 0.375)
O (0.375, 0.250, 0.625)
O (0.375, 0.625, 0.750)
O (0.500, 0.000, 0.000)
O (0.500, 0.000, 0.500)
O (0.500, 0.500, 0.000)
O (0.500, 0.500, 0.500)
O (0.625, 0.375, 0.250)
O (0.625, 0.750, 0.375)
O (0.750, 0.375, 0.625)
O (0.750, 0.875, 0.125)
O (0.875, 0.125, 0.750)
O (0.875, 0.250, 0.125)

[2]
A plane-wave DFT calculation with GGA+U was carried out for a relaxed Er3CrO6 crystal.

Results
Space-group type: No. 36

Cell lengths 6.984, 6.984, 5.444 Å; angles 90.00, 90.00, 101.37 degrees
Element x y z (fractional)
Er (0.103, 0.897, 0.500)
Er (0.180, 0.413, 0.448)
Er (0.413, 0.180, 0.948)
Er (0.587, 0.820, 0.448)
Er (0.820, 0.587, 0.948)
Er (0.897, 0.103, 0.000)
Cr (0.353, 0.647, 0.935)
Cr (0.647, 0.353, 0.435)
O (0.104, 0.598, 0.759)
O (0.146, 0.174, 0.725)
O (0.174, 0.146, 0.225)
O (0.277, 0.723, 0.262)
O (0.402, 0.896, 0.759)
O (0.486, 0.514, 0.641)
O (0.514, 0.486, 0.141)
O (0.598, 0.104, 0.259)
O (0.723, 0.277, 0.762)
O (0.826, 0.854, 0.725)
O (0.854, 0.826, 0.225)
O (0.896, 0.402, 0.259)

[3]
A plane-wave DFT calculation with GGA+U was carried out for a relaxed Er3Cr5O12 crystal.

Results
Space-group type: No. 230

Cell lengths 10.829, 10.829, 10.829 Å; angles 109.47, 109.47, 109.47 degrees
Element x y z (fractional)
Er (0.125, 0.250, 0.375)
Er (0.125, 0.375, 0.750)
Er (0.250, 0.375, 0.125)
Er (0.250, 0.875, 0.625)
Er (0.375, 0.125, 0.250)
Er (0.375, 0.750, 0.125)
Er (0.625, 0.250, 0.875)
Er (0.625, 0.875, 0.750)
Er (0.750, 0.125, 0.375)
Er (0.750, 0.625, 0.875)
Er (0.875, 0.625, 0.250)
Er (0.875, 0.750, 0.625)
Cr (0.000, 0.000, 0.000)
Cr (0.000, 0.000, 0.500)
Cr (0.000, 0.500, 0.000)
Cr (0.000, 0.500, 0.500)
Cr (0.125, 0.750, 0.875)
Cr (0.125, 0.875, 0.250)
Cr (0.250, 0.125, 0.875)
Cr (0.250, 0.625, 0.375)
Cr (0.375, 0.250, 0.625)
Cr (0.375, 0.625, 0.750)
Cr (0.500, 0.000, 0.000)
Cr (0.500, 0.000, 0.500)
Cr (0.500, 0.500, 0.000)
Cr (0.500, 0.500, 0.500)
Cr (0.625, 0.375, 0.250)
Cr (0.625, 0.750, 0.375)
Cr (0.750, 0.375, 0.625)
Cr (0.750, 0.875, 0.125)
Cr (0.875, 0.125, 0.750)
Cr (0.875, 0.250, 0.125)
O (0.032, 0.206, 0.132)
O (0.032, 0.326, 0.901)
O (0.074, 0.706, 0.674)
O (0.074, 0.868, 0.401)
O (0.099, 0.632, 0.426)
O (0.099, 0.968, 0.674)
O (0.132, 0.032, 0.206)
O (0.132, 0.599, 0.926)
O (0.174, 0.206, 0.574)
O (0.174, 0.468, 0.599)
O (0.206, 0.132, 0.032)
O (0.206, 0.574, 0.174)
O (0.294, 0.326, 0.926)
O (0.294, 0.468, 0.368)
O (0.326, 0.901, 0.032)
O (0.326, 0.926, 0.294)
O (0.368, 0.294, 0.468)
O (0.368, 0.574, 0.901)
O (0.401, 0.074, 0.868)
O (0.401, 0.826, 0.532)
O (0.426, 0.099, 0.632)
O (0.426, 0.826, 0.794)
O (0.468, 0.368, 0.294)
O (0.468, 0.599, 0.174)
O (0.532, 0.401, 0.826)
O (0.532, 0.632, 0.706)
O (0.574, 0.174, 0.206)
O (0.574, 0.901, 0.368)
O (0.599, 0.174, 0.468)
O (0.599, 0.926, 0.132)
O (0.632, 0.426, 0.099)
O (0.632, 0.706, 0.532)
O (0.674, 0.074, 0.706)
O (0.674, 0.099, 0.968)
O (0.706, 0.532, 0.632)
O (0.706, 0.674, 0.074)
O (0.794, 0.426, 0.826)
O (0.794, 0.868, 0.968)
O (0.826, 0.532, 0.401)
O (0.826, 0.794, 0.426)
O (0.868, 0.401, 0.074)
O (0.868, 0.968, 0.794)
O (0.901, 0.032, 0.326)
O (0.901, 0.368, 0.574)
O (0.926, 0.132, 0.599)
O (0.926, 0.294, 0.326)
O (0.968, 0.674, 0.099)
O (0.968, 0.794, 0.868)

[4]
A plane-wave DFT calculation with GGA+U was carried out for a relaxed ErCr2O8 crystal.

Results
Space-group type: No. 139

Cell lengths 6.528, 6.528, 6.528 Å; angles 138.34, 138.34, 60.39 degrees
Element x y z (fractional)
Er (0.000, 0.000, 0.000)
Cr (0.250, 0.750, 0.500)
Cr (0.750, 0.250, 0.500)
O (0.106, 0.106, 0.501)
O (0.106, 0.606, 0.000)
O (0.394, 0.394, 0.501)
O (0.394, 0.894, 0.000)
O (0.606, 0.106, 0.000)
O (0.606, 0.606, 0.499)
O (0.894, 0.394, 0.000)
O (0.894, 0.894, 0.499)

We obtain V values of 22.51, 13.01, 12.22, 11.06 A^3/atom for the records listed above, in that order.
We obtain energy values of -127.84, -82.22, -159.45, -70.75 eV per formula unit for the records listed above, in that order.